Entry a
A plane-wave DFT calculation with PBE was carried out for NaPbOF2 after structural relaxation.

Lattice parameters (Å, degrees): 4.5865 4.5865 4.2457 90.00 90.00 90.00
Positions (direct):
Na (0.0000, 0.0000, 0.0000)
Pb (0.5000, 0.5000, 0.5000)
O (0.5000, 0.5000, 0.0000)
F (0.0000, 0.5000, 0.5000)
F (0.5000, 0.0000, 0.5000)

Calculated values
For the density, the calculation gives 5.3 g/cm³. For the spin magnetization, the calculation gives 0.0 μB per formula unit.

=====

Entry b
A plane-wave DFT calculation with PBE was carried out for NaPbOF2 after structural relaxation.

Lattice parameters (Å, degrees): 4.1501 4.1501 4.3558 90.00 90.00 90.00
Positions (direct):
Na (0.0000, 0.0000, 0.0000)
Pb (0.5000, 0.5000, 0.5000)
O (0.0000, 0.0000, 0.5000)
F (0.0000, 0.5000, 0.0000)
F (0.5000, 0.0000, 0.0000)

Calculated values
For the density, the calculation gives 6.3 g/cm³. For the spin magnetization, the calculation gives 1.0 μB per formula unit.

=====

Need the numbers? Relative energies in meV/atom: entry a 0; entry b 273.

=====

Entry a
A plane-wave DFT calculation with PBE was carried out for NaPdOF2 after structural relaxation.

Lattice parameters (Å, degrees): 5.5311 5.5311 7.0555 90.00 90.00 143.53
Positions (direct):
Na (0.2396, 0.7604, 0.7500)
Na (0.7604, 0.2396, 0.2500)
Pd (0.5000, 0.5000, 0.0000)
Pd (0.5000, 0.5000, 0.5000)
O (0.4242, 0.5758, 0.2500)
O (0.5758, 0.4242, 0.7500)
F (0.1326, 0.8674, 0.0526)
F (0.1326, 0.8674, 0.4474)
F (0.8674, 0.1326, 0.5526)
F (0.8674, 0.1326, 0.9474)

Calculated values
For the density, the calculation gives 4.7 g/cm³. For the spin magnetization, the calculation gives 1.0 μB per formula unit.

=====

Entry b
A plane-wave DFT calculation with PBE was carried out for NaPdOF2 after structural relaxation.

Lattice parameters (Å, degrees): 4.3414 4.3414 3.8377 90.00 90.00 90.00
Positions (direct):
Na (0.0000, 0.0000, 0.0000)
Pd (0.5000, 0.5000, 0.5000)
O (0.5000, 0.5000, 0.0000)
F (0.0000, 0.5000, 0.5000)
F (0.5000, 0.0000, 0.5000)

Calculated values
For the density, the calculation gives 4.2 g/cm³. For the spin magnetization, the calculation gives 0.0 μB per formula unit.

=====

Need the numbers? Relative energies in meV/atom: entry a 0; entry b 92.

=====

Entry a
A plane-wave DFT calculation with PBE was carried out for NaReOF2 after structural relaxation.

Lattice parameters (Å, degrees): 4.2853 4.2853 3.8183 90.00 90.00 90.00
Positions (direct):
Na (0.0000, 0.0000, 0.0000)
Re (0.5000, 0.5000, 0.5000)
O (0.5000, 0.5000, 0.0000)
F (0.0000, 0.5000, 0.5000)
F (0.5000, 0.0000, 0.5000)

Calculated values
For the density, the calculation gives 6.2 g/cm³. For the spin magnetization, the calculation gives 0.0 μB per formula unit.

=====

Entry b
A plane-wave DFT calculation with PBE was carried out for NaReOF2 after structural relaxation.

Lattice parameters (Å, degrees): 3.8168 3.8168 4.3306 90.00 90.00 90.00
Positions (direct):
Na (0.0000, 0.0000, 0.0000)
Re (0.5000, 0.5000, 0.5000)
O (0.0000, 0.0000, 0.5000)
F (0.0000, 0.5000, 0.0000)
F (0.5000, 0.0000, 0.0000)

Calculated values
For the density, the calculation gives 6.9 g/cm³. For the spin magnetization, the calculation gives 4.0 μB per formula unit.

=====

Need the numbers? Relative energies in meV/atom: entry a 0; entry b 1251.

=====

Entry a
A plane-wave DFT calculation with PBE was carried out for NaRhOF2 after structural relaxation.

Lattice parameters (Å, degrees): 3.9120 3.9120 6.4970 90.00 90.00 90.00
Positions (direct):
Na (0.0000, 0.0000, 0.0000)
Rh (0.0000, 0.0000, 0.5000)
O (0.5000, 0.5000, 0.0000)
F (0.0000, 0.5000, 0.5000)
F (0.5000, 0.0000, 0.5000)

Calculated values
For the density, the calculation gives 3.0 g/cm³. For the spin magnetization, the calculation gives 1.2 μB per formula unit.

=====

Entry b
A plane-wave DFT calculation with PBE was carried out for NaRhOF2 after structural relaxation.

Lattice parameters (Å, degrees): 3.9743 3.9743 4.2508 90.00 90.00 90.00
Positions (direct):
Na (0.0000, 0.0000, 0.0000)
Rh (0.5000, 0.5000, 0.5000)
O (0.0000, 0.0000, 0.5000)
F (0.0000, 0.5000, 0.0000)
F (0.5000, 0.0000, 0.0000)

Calculated values
For the density, the calculation gives 4.4 g/cm³. For the spin magnetization, the calculation gives 4.0 μB per formula unit.

=====

Entry c
A plane-wave DFT calculation with PBE was carried out for NaRhOF2 after structural relaxation.

Lattice parameters (Å, degrees): 4.3654 4.3654 3.7476 90.00 90.00 90.00
Positions (direct):
Na (0.0000, 0.0000, 0.0000)
Rh (0.5000, 0.5000, 0.5000)
O (0.5000, 0.5000, 0.0000)
F (0.0000, 0.5000, 0.5000)
F (0.5000, 0.0000, 0.5000)

Calculated values
For the density, the calculation gives 4.2 g/cm³. For the spin magnetization, the calculation gives 0.1 μB per formula unit.

=====

Need the numbers? Relative energies in meV/atom: entry a 819; entry b 1113; entry c 0.

=====

Entry a
A plane-wave DFT calculation with PBE was carried out for NaSeOF2 after structural relaxation.

Lattice parameters (Å, degrees): 4.5529 4.5529 3.7930 90.00 90.00 90.00
Positions (direct):
Na (0.0000, 0.0000, 0.0000)
Se (0.5000, 0.5000, 0.5000)
O (0.5000, 0.5000, 0.0000)
F (0.0000, 0.5000, 0.5000)
F (0.5000, 0.0000, 0.5000)

Calculated values
For the density, the calculation gives 3.3 g/cm³. For the spin magnetization, the calculation gives 0.0 μB per formula unit.

=====

Entry b
A plane-wave DFT calculation with PBE was carried out for NaSeOF2 after structural relaxation.

Lattice parameters (Å, degrees): 3.9192 3.9192 4.3725 90.00 90.00 90.00
Positions (direct):
Na (0.0000, 0.0000, 0.0000)
Se (0.5000, 0.5000, 0.5000)
O (0.0000, 0.0000, 0.5000)
F (0.0000, 0.5000, 0.0000)
F (0.5000, 0.0000, 0.0000)

Calculated values
For the density, the calculation gives 3.9 g/cm³. For the spin magnetization, the calculation gives 0.0 μB per formula unit.

=====

Need the numbers? Relative energies in meV/atom: entry a 0; entry b 964.

=====

Entry a
A plane-wave DFT calculation with PBE was carried out for NaSrOF2 after structural relaxation.

Lattice parameters (Å, degrees): 4.7228 4.7228 4.7557 90.00 90.00 90.00
Positions (direct):
Na (0.0000, 0.0000, 0.0000)
Sr (0.5000, 0.5000, 0.5000)
O (0.5000, 0.5000, 0.0000)
F (0.0000, 0.5000, 0.5000)
F (0.5000, 0.0000, 0.5000)

Calculated values
For the density, the calculation gives 2.6 g/cm³. For the spin magnetization, the calculation gives 1.0 μB per formula unit.

=====

Entry b
A plane-wave DFT calculation with PBE was carried out for NaSrOF2 after structural relaxation.

Lattice parameters (Å, degrees): 4.1494 4.1494 4.3084 90.00 90.00 90.00
Positions (direct):
Na (0.0000, 0.0000, 0.0000)
Sr (0.5000, 0.5000, 0.5000)
O (0.0000, 0.0000, 0.5000)
F (0.0000, 0.5000, 0.0000)
F (0.5000, 0.0000, 0.0000)

Calculated values
For the density, the calculation gives 3.7 g/cm³. For the spin magnetization, the calculation gives 1.0 μB per formula unit.

=====

Need the numbers? Relative energies in meV/atom: entry a 44; entry b 0.